YBi15O24 | meta-GGA SCAN | PBEsol geometry

Calculated values
- Magnetic moment: 0.00 μB/f.u.
- Calculated density: 9.169 g cm⁻³
- Uncorrected formation energy: -1.264 eV per atom

Cell: 7.6072 7.7692 11.0559 Å, 90.99 90.00 90.00°
Sites, in units of the cell vectors:
1 Bi 0.0000 0.2485 0.3895
2 Bi 0.7546 0.5003 0.6369
3 Bi 0.0000 0.7633 0.8846
4 Bi 0.7493 0.0211 0.6170
5 Bi 0.2463 0.5056 0.1341
6 Bi 0.5000 0.7599 0.8554
7 Bi 0.5000 0.2340 0.3605
8 Bi 0.2522 0.9912 0.1136
9 Bi 0.2507 0.0211 0.6170
10 Bi 0.7478 0.9912 0.1136
11 Bi 0.5000 0.2403 0.8688
12 Bi 0.7537 0.5056 0.1341
13 Bi 0.2454 0.5003 0.6369
14 Bi 0.0000 0.7324 0.3860
15 Bi 0.5000 0.7500 0.3668
16 O 0.2893 0.6958 0.4954
17 O 0.7877 0.8252 0.7585
18 O 0.2009 0.7744 0.2402
19 O 0.0000 0.5081 0.0432
20 O 0.7006 0.2919 0.5055
21 O 0.7107 0.6958 0.4954
22 O 0.7003 0.6916 0.9939
23 O 0.2014 0.2222 0.7506
24 O 0.2104 0.1787 0.2611
25 O 0.7896 0.1787 0.2611
26 O 0.0000 0.5285 0.7873
27 O 0.2997 0.6916 0.9939
28 O 0.5000 0.9967 0.9566
29 O 0.5000 0.9965 0.4558
30 O 0.2679 0.2765 0.9993
31 O 0.2994 0.2919 0.5055
32 O 0.7321 0.2765 0.9993
33 O 0.0000 0.4859 0.2930
34 O 0.2123 0.8252 0.7585
35 O 0.7991 0.7744 0.2402
36 O 0.0000 0.4949 0.5432
37 O 0.7986 0.2222 0.7506
38 O 0.5000 0.0243 0.7057
39 O 0.5000 0.9908 0.2033
40 Y 0.0000 0.2965 0.8882

***

YBiO3 | meta-GGA SCAN | PBEsol geometry

Calculated values
- D(E_F): 0.000 states/eV/cell
- Magnetic moment: 0.00 μB/f.u.
- Calculated density: 7.509 g cm⁻³
- Uncorrected formation energy: -2.497 eV per atom

Cell: 5.9567 5.9567 6.0508 Å, 60.51 60.51 60.00°
Sites, in units of the cell vectors:
1 Y 0.2241 0.2241 0.3277
2 Y 0.7241 0.7241 0.8277
3 Bi 0.5076 0.5076 0.4771
4 Bi 0.0076 0.0076 0.9771
5 O 0.4096 0.0830 0.6533
6 O 0.3542 0.5830 0.1533
7 O 0.5830 0.9096 0.1533
8 O 0.0830 0.8542 0.6533
9 O 0.9096 0.3542 0.1533
10 O 0.8542 0.4096 0.6533

***

Y2Bi2O7 | meta-GGA SCAN | PBEsol geometry

Calculated values
- D(E_F): 0.260 states/eV/cell
- Magnetic moment: 0.00 μB/f.u.
- Calculated density: 5.997 g cm⁻³
- Uncorrected formation energy: -2.174 eV per atom
- Polymorph energy (0 for the lowest one): 98 meV per atom

Cell: 5.8069 5.9552 5.9552 Å, 105.37 95.63 95.63°
Sites, in units of the cell vectors:
1 Bi 0.6031 0.7390 0.7390
2 Bi 0.3969 0.2610 0.2610
3 O 0.2533 0.5420 0.5420
4 O 0.8175 0.5842 0.9461
5 O 0.5000 0.0000 0.0000
6 O 0.8175 0.9461 0.5842
7 O 0.1825 0.4158 0.0539
8 O 0.7467 0.4580 0.4580
9 O 0.1825 0.0539 0.4158
10 Y 0.0000 0.3069 0.6931
11 Y 0.0000 0.6931 0.3069

***

YBi3O6 | meta-GGA SCAN | PBEsol geometry

Calculated values
- D(E_F): 0.000 states/eV/cell
- Magnetic moment: 0.00 μB/f.u.
- Calculated density: 8.175 g cm⁻³
- Uncorrected formation energy: -1.768 eV per atom

Cell: 6.9192 6.9192 6.9192 Å, 93.05 93.05 93.05°
Sites, in units of the cell vectors:
1 O 0.6910 0.9280 0.0717
2 O 0.6003 0.4733 0.8114
3 O 0.9283 0.3090 0.0720
4 O 0.1886 0.3997 0.5267
5 O 0.9280 0.0717 0.6910
6 O 0.4733 0.8114 0.6003
7 O 0.3090 0.0720 0.9283
8 O 0.8114 0.6003 0.4733
9 O 0.5267 0.1886 0.3997
10 O 0.0720 0.9283 0.3090
11 O 0.3997 0.5267 0.1886
12 O 0.0717 0.6910 0.9280
13 Bi 0.5560 0.2512 0.0701
14 Bi 0.4440 0.7488 0.9299
15 Bi 0.7488 0.9299 0.4440
16 Bi 0.0701 0.5560 0.2512
17 Bi 0.9299 0.4440 0.7488
18 Bi 0.2512 0.0701 0.5560
19 Y 0.0000 0.0000 0.0000
20 Y 0.5000 0.5000 0.5000